(1)
Density functional theory data (PBE) for a geometry-optimized Ac4GePtI2 structure.

Structure (CIF):
```
data_Ac4GePtI2
_symmetry_space_group_name_H-M 'P 1 2/m 1'
_symmetry_Int_Tables_number 10
_symmetry_space_group_name_Hall '-P 2y'
_cell_length_a 8.221
_cell_length_b 4.455
_cell_length_c 8.622
_cell_angle_alpha 90.00
_cell_angle_beta 106.56
_cell_angle_gamma 90.00
loop_
_atom_site_label
_atom_site_type_symbol
_atom_site_fract_x
_atom_site_fract_y
_atom_site_fract_z
Ac1 Ac 0.215 0.000 0.187
Ac2 Ac 0.262 0.500 0.799
Ge1 Ge 0.500 0.000 0.000
Pt1 Pt 0.000 0.500 0.000
I1 I 0.000 0.000 0.500
I2 I 0.500 0.500 0.500
```


(2)
Density functional theory data (PBE) for a geometry-optimized Ac8GePt3I3 structure.

Structure (CIF):
```
data_Ac8GePt3I3
_symmetry_space_group_name_H-M 'C 1 2/m 1'
_symmetry_Int_Tables_number 12
_symmetry_space_group_name_Hall '-C 2y'
_cell_length_a 15.730
_cell_length_b 9.087
_cell_length_c 9.748
_cell_angle_alpha 90.00
_cell_angle_beta 122.57
_cell_angle_gamma 90.00
loop_
_atom_site_label
_atom_site_type_symbol
_atom_site_fract_x
_atom_site_fract_y
_atom_site_fract_z
Ac1 Ac 0.021 0.239 0.302
Ac2 Ac 0.231 0.000 0.692
Ac3 Ac 0.241 0.500 0.699
Ge1 Ge 0.000 0.500 0.500
Pt1 Pt 0.000 0.000 0.500
Pt2 Pt 0.250 0.250 0.500
I1 I 0.000 0.500 0.000
I2 I 0.250 0.250 0.000
```


no.,total energy (eV/atom),total moment (μB per formula unit)
1,-4.84,0.00
2,-5.02,0.00